4
Lattice="5.2049 0.0000 0.0000 2.6025 4.5076 0.0000 2.6025 1.5025 4.2571" Properties=species:S:1:pos:R:3 comment="Er2ThFe GGA-PBE relaxed" rho_g_cm3=10.35 delta_e_f_ev_per_fu=1.94 pbc="T T T"
Fe 0.0000 0.0000 0.0000
Th 5.2049 3.0051 2.1285
Er 2.6025 1.5025 1.0617
Er 7.8074 4.5076 3.1954


3
Lattice="6.0877 0.0000 0.0000 0.0000 3.8494 0.0000 0.0000 -1.9247 3.3336" Properties=species:S:1:pos:R:3 comment="ErThFe GGA-PBE relaxed" rho_g_cm3=9.67 delta_e_f_ev_per_fu=0.26 pbc="T T T"
Fe 2.1142 0.0000 2.2224
Th 3.4511 1.9247 1.1112
Er 0.5224 0.0000 0.0000


4
Lattice="3.8544 0.0000 0.0000 1.9272 3.3380 0.0000 1.9272 1.1127 8.7556" Properties=species:S:1:pos:R:3 comment="ErTh2Fe GGA-PBE relaxed" rho_g_cm3=10.13 delta_e_f_ev_per_fu=0.23 pbc="T T T"
Er 3.8544 2.2254 4.3646
Th 1.9272 1.1127 7.2229
Th 1.9272 1.1127 1.5135
Fe 3.8544 2.2254 0.0323